The following is a PBEsol calculation of crystalline RbNiO2 at its relaxed geometry, from Alexandria via LeMat-Bulk.

Lattice parameters (Å, degrees): 4.179 4.179 4.179 60.00 60.00 60.00
Element x y z (fractional)
Ni1 0.000 0.000 0.000
O1 0.250 0.250 0.250
O2 0.750 0.750 0.750
Rb1 0.500 0.500 0.500

- Space-group type: Fm-3m
- Final energy: -16.56 eV/f.u.

=====

The following is a PBEsol calculation of crystalline ScAl2Ag at its relaxed geometry, from Alexandria via LeMat-Bulk.

Lattice parameters (Å, degrees): 3.080 3.858 5.934 90.00 90.00 90.00
Element x y z (fractional)
Sc1 0.000 0.000 0.499
Al1 0.000 0.000 0.001
Al2 0.500 0.500 0.233
Ag1 0.500 0.500 0.767

- ΔE_f: -21 kJ/mol of atoms
- Space-group type: Pmm2
- Final energy: -18.95 eV/f.u.

=====

The following is a PBEsol calculation of crystalline Tb2Ni2Sn at its relaxed geometry, from Alexandria via LeMat-Bulk.

Lattice parameters (Å, degrees): 3.643 7.241 7.241 90.00 90.00 90.00
Element x y z (fractional)
Ni1 0.000 0.880 0.620
Ni2 0.000 0.620 0.120
Ni3 0.000 0.380 0.880
Ni4 0.000 0.120 0.380
Tb1 0.500 0.176 0.676
Tb2 0.500 0.824 0.324
Tb3 0.500 0.676 0.824
Tb4 0.500 0.324 0.176
Sn1 0.000 0.500 0.500
Sn2 0.000 0.000 0.000

- ΔE_f: -59 kJ/mol of atoms
- Space-group type: P4/mbm
- Final energy: -29.65 eV/f.u.

=====

The following is a PBEsol calculation of crystalline As2RhBrCl at its relaxed geometry, from Alexandria via LeMat-Bulk.

Lattice parameters (Å, degrees): 4.720 4.720 5.067 90.00 90.00 90.00
Element x y z (fractional)
As1 0.000 0.500 0.000
As2 0.500 0.000 0.000
Rh1 0.000 0.000 0.000
Br1 0.000 0.000 0.500
Cl1 0.500 0.500 0.500

- Space-group type: P4/mmm
- Final energy: -20.73 eV/f.u.

=====

The following is a PBEsol calculation of crystalline KAg2Se at its relaxed geometry, from Alexandria via LeMat-Bulk.

Lattice parameters (Å, degrees): 4.313 4.313 5.556 112.84 112.84 90.00
Element x y z (fractional)
Ag1 0.750 0.250 0.500
Ag2 0.250 0.750 0.500
K1 0.500 0.500 0.000
Se1 0.000 0.000 0.000

- Space-group type: I4/mmm
- Final energy: -11.60 eV/f.u.

=====

The following is a PBEsol calculation of crystalline TaNbFe2Se at its relaxed geometry, from Alexandria via LeMat-Bulk.

Lattice parameters (Å, degrees): 4.189 4.189 4.694 90.00 90.00 90.00
Element x y z (fractional)
Nb1 0.000 0.000 0.500
Fe1 0.000 0.500 0.000
Fe2 0.500 0.000 0.000
Se1 0.000 0.000 0.000
Ta1 0.500 0.500 0.500

- Space-group type: P4/mmm
- Final energy: -41.48 eV/f.u.

=====

The following is a PBEsol calculation of crystalline PtWS2N at its relaxed geometry, from Alexandria via LeMat-Bulk.

Lattice parameters (Å, degrees): 3.728 4.706 4.706 90.00 90.00 90.00
Element x y z (fractional)
S1 0.000 0.000 0.500
S2 0.000 0.500 0.000
W1 0.000 0.000 0.000
Pt1 0.500 0.500 0.500
N1 0.500 0.000 0.000

- Space-group type: P4/mmm
- Final energy: -35.28 eV/f.u.

=====

The following is a PBEsol calculation of crystalline FeCoH18C6N12 at its relaxed geometry, from Alexandria via LeMat-Bulk.

Lattice parameters (Å, degrees): 7.205 7.205 7.205 97.60 97.60 97.60
Element x y z (fractional)
Fe1 0.000 0.000 0.000
Co1 0.500 0.500 0.500
H1 0.533 0.356 0.804
H2 0.804 0.533 0.356
H3 0.356 0.804 0.533
H4 0.467 0.644 0.196
H5 0.196 0.467 0.644
H6 0.644 0.196 0.467
H7 0.652 0.574 0.843
H8 0.843 0.652 0.574
H9 0.574 0.843 0.652
H10 0.348 0.426 0.157
H11 0.157 0.348 0.426
H12 0.426 0.157 0.348
H13 0.744 0.399 0.735
H14 0.735 0.744 0.399
H15 0.399 0.735 0.744
H16 0.256 0.601 0.265
H17 0.265 0.256 0.601
H18 0.601 0.265 0.256
C1 0.051 0.773 0.872
C2 0.872 0.051 0.773
C3 0.773 0.872 0.051
C4 0.949 0.227 0.128
C5 0.128 0.949 0.227
C6 0.227 0.128 0.949
N1 0.078 0.631 0.787
N2 0.787 0.078 0.631
N3 0.631 0.787 0.078
N4 0.922 0.369 0.213
N5 0.213 0.922 0.369
N6 0.369 0.213 0.922
N7 0.619 0.453 0.744
N8 0.744 0.619 0.453
N9 0.453 0.744 0.619
N10 0.381 0.547 0.256
N11 0.256 0.381 0.547
N12 0.547 0.256 0.381

- Space-group type: R-3
- Final energy: -242.37 eV/f.u.

=====

- final energy of number 3 (Tb2Ni2Sn)?
  -29.65 eV/f.u.

=====

- Look up the final energy of the fourth one.
  -20.73 eV/f.u.

=====

- Which of these has the lowest final energy?
  FeCoH18C6N12